# 1
VASP calculation (PBE-GGA) on a relaxed La2PrGe4Ir2Pd2 crystal.

Summary:
Space-group type = Immm
Relative energy among the computed polymorphs = 0 meV/atom
Energy = -6.4626 eV per atom

Lattice parameters (Å, degrees): 13.1796 13.1796 13.1796 161.86 161.11 26.30
With the nearest neighbours (Å) after each atom.
Fractional coordinates of all 11 atoms:
La  0.1481  0.1481  0.0000  6 Ge 3.25-3.29, 4 Pd 3.26, 4 Ir 3.33-3.40
La  0.8519  0.8519  0.0000  6 Ge 3.25-3.29, 4 Pd 3.26, 4 Ir 3.33-3.40
Pr  0.5000  0.0000  0.5000  8 Ge 3.25, 4 Pd 3.27
Ge  0.0486  0.5486  0.5000  1 Ge 2.49, 2 Pd 2.51
Ge  0.3028  0.3028  0.0000  4 Ir 2.49-2.55, 1 Pd 2.53
Ge  0.6972  0.6972  0.0000  4 Ir 2.49-2.55, 1 Pd 2.53
Ge  0.9514  0.4514  0.5000  1 Ge 2.49, 2 Pd 2.51
Ir  0.2496  0.7496  0.5000  4 Ge 2.49-2.55
Ir  0.7504  0.2504  0.5000  4 Ge 2.49-2.55
Pd  0.4016  0.4016  0.0000  3 Ge 2.51-2.53
Pd  0.5984  0.5984  0.0000  3 Ge 2.51-2.53

---

# 2
VASP calculation (PBE-GGA) on a relaxed Hf4CoAsN2 crystal.

Summary:
Space-group type = P-6m2
Energy = -9.5739 eV per atom

Lattice parameters (Å, degrees): 3.2611 3.2611 12.6974 90.00 90.00 120.00
With the nearest neighbours (Å) after each atom.
Fractional coordinates of all 8 atoms:
Hf  0.0000  0.0000  0.1469  3 N 2.29
Hf  0.0000  0.0000  0.8531  3 N 2.29
Hf  0.3333  0.6667  0.3479  3 N 2.26
Hf  0.3333  0.6667  0.6521  3 N 2.26
Co  0.3333  0.6667  0.0000  6 Hf 2.65
As  0.0000  0.0000  0.5000  6 Hf 2.70
N  0.6667  0.3333  0.2495  6 Hf 2.26-2.29
N  0.6667  0.3333  0.7505  6 Hf 2.26-2.29